[1]
# TcRuPtI2

An optimized crystal structure of TcRuPtI2 (PBE, Alexandria).

The structure in POSCAR format:
```
TcRuPtI2
1.0
5.333 0.000 0.000
0.000 5.333 0.000
0.000 0.000 5.044
Tc Ru Pt I
1 1 1 2
direct
0.000 0.000 0.000 Tc
0.500 0.500 0.000 Ru
0.500 0.500 0.500 Pt
0.000 0.500 0.500 I
0.500 0.000 0.500 I
```

Results
Density of states at the Fermi level, states/eV per cell: 3.4
Total energy, eV per atom: -4.141
Total magnetization, μB per atom: 1.32


[2]
# YRuPtI2

An optimized crystal structure of YRuPtI2 (PBE, Alexandria).

The structure in POSCAR format:
```
YRuPtI2
1.0
5.794 0.000 0.000
0.000 5.794 0.000
0.000 0.000 5.115
Y Ru Pt I
1 1 1 2
direct
0.000 0.000 0.000 Y
0.000 0.000 0.500 Ru
0.500 0.500 0.500 Pt
0.000 0.500 0.000 I
0.500 0.000 0.000 I
```

Results
Density of states at the Fermi level, states/eV per cell: 5.1
Total energy, eV per atom: -3.918
Total magnetization, μB per atom: 0.30


[3]
# ZrRuPt2I

An optimized crystal structure of ZrRuPt2I (PBE, Alexandria).

The structure in POSCAR format:
```
ZrRuPt2I
1.0
4.880 0.000 0.000
0.000 4.880 0.000
0.000 0.000 5.219
Zr Ru Pt I
1 1 2 1
direct
0.000 0.000 0.000 Zr
0.500 0.500 0.000 Ru
0.000 0.500 0.500 Pt
0.500 0.000 0.500 Pt
0.000 0.000 0.500 I
```

Results
Density of states at the Fermi level, states/eV per cell: 7.9
Total energy, eV per atom: -4.833
Total magnetization, μB per atom: 0.34


[4]
# PtS2I

An optimized crystal structure of PtS2I (PBE, Alexandria).

The structure in POSCAR format:
```
PtS2I
1.0
3.805 0.000 0.000
-1.902 3.295 0.000
0.000 0.000 22.963
Pt S I
3 6 3
direct
0.000 0.000 0.000 Pt
0.333 0.667 0.667 Pt
0.667 0.333 0.333 Pt
0.000 0.000 0.383 S
0.000 0.000 0.617 S
0.333 0.667 0.050 S
0.333 0.667 0.284 S
0.667 0.333 0.716 S
0.667 0.333 0.950 S
0.000 0.000 0.500 I
0.333 0.667 0.167 I
0.667 0.333 0.833 I
```

Results
Density of states at the Fermi level, states/eV per cell: 6.5
Total energy, eV per atom: -4.044
Total magnetization, μB per atom: 0.00
E above lowest polymorph, kJ/mol of atoms: 0.0


[5]
# PtS2I

An optimized crystal structure of PtS2I (PBE, Alexandria).

The structure in POSCAR format:
```
PtS2I
1.0
6.690 0.000 0.000
0.000 6.690 0.000
0.000 0.000 6.690
Pt S I
4 8 4
direct
0.000 0.000 0.000 Pt
0.000 0.500 0.500 Pt
0.500 0.000 0.500 Pt
0.500 0.500 0.000 Pt
0.250 0.250 0.250 S
0.250 0.250 0.750 S
0.250 0.750 0.250 S
0.250 0.750 0.750 S
0.750 0.250 0.250 S
0.750 0.250 0.750 S
0.750 0.750 0.250 S
0.750 0.750 0.750 S
0.000 0.000 0.500 I
0.000 0.500 0.000 I
0.500 0.000 0.000 I
0.500 0.500 0.500 I
```

Results
Density of states at the Fermi level, states/eV per cell: 21.3
Total energy, eV per atom: -2.956
Total magnetization, μB per atom: 0.00
E above lowest polymorph, kJ/mol of atoms: 104.9


[6]
# Pt2SI4

An optimized crystal structure of Pt2SI4 (PBE, Alexandria).

The structure in POSCAR format:
```
Pt2SI4
1.0
5.337 0.000 0.000
0.000 5.337 0.000
0.000 0.000 16.778
Pt S I
4 2 8
direct
0.000 0.000 0.077 Pt
0.000 0.000 0.923 Pt
0.500 0.500 0.423 Pt
0.500 0.500 0.577 Pt
0.000 0.000 0.500 S
0.500 0.500 0.000 S
0.000 0.000 0.230 I
0.000 0.000 0.770 I
0.000 0.500 0.000 I
0.000 0.500 0.500 I
0.500 0.000 0.000 I
0.500 0.000 0.500 I
0.500 0.500 0.270 I
0.500 0.500 0.730 I
```

Results
Density of states at the Fermi level, states/eV per cell: 16.1
Total energy, eV per atom: -2.799
Total magnetization, μB per atom: 0.00


[7]
# Pt3SI

An optimized crystal structure of Pt3SI (PBE, Alexandria).

The structure in POSCAR format:
```
Pt3SI
1.0
4.994 0.000 0.000
0.000 4.994 0.000
0.000 0.000 4.994
Pt S I
3 1 1
direct
0.000 0.000 0.500 Pt
0.000 0.500 0.000 Pt
0.500 0.000 0.000 Pt
0.500 0.500 0.500 S
0.000 0.000 0.000 I
```

Results
Density of states at the Fermi level, states/eV per cell: 6.5
Total energy, eV per atom: -3.262
Total magnetization, μB per atom: 0.00
E above lowest polymorph, kJ/mol of atoms: 89.5


[8]
# PtSI

An optimized crystal structure of PtSI (PBE, Alexandria).

The structure in POSCAR format:
```
PtSI
1.0
3.806 0.000 0.000
-1.903 3.296 0.000
0.000 0.000 5.768
Pt S I
1 1 1
direct
0.000 0.000 0.000 Pt
0.667 0.333 0.190 S
0.333 0.667 0.702 I
```

Results
Density of states at the Fermi level, states/eV per cell: 2.4
Total energy, eV per atom: -3.904
Total magnetization, μB per atom: 0.00


[9]
# Pt2S3I

An optimized crystal structure of Pt2S3I (PBE, Alexandria).

The structure in POSCAR format:
```
Pt2S3I
1.0
7.286 0.000 0.000
-3.643 6.310 0.000
0.000 0.000 6.182
Pt S I
4 6 2
direct
0.000 0.000 0.000 Pt
0.000 0.500 0.000 Pt
0.500 0.000 0.000 Pt
0.500 0.500 0.000 Pt
0.169 0.339 0.813 S
0.169 0.831 0.813 S
0.339 0.169 0.187 S
0.661 0.831 0.813 S
0.831 0.169 0.187 S
0.831 0.661 0.187 S
0.333 0.667 0.313 I
0.667 0.333 0.687 I
```

Results
Density of states at the Fermi level, states/eV per cell: 8.3
Total energy, eV per atom: -4.547
Total magnetization, μB per atom: 0.00


[10]
# Pt3SI

An optimized crystal structure of Pt3SI (PBE, Alexandria).

The structure in POSCAR format:
```
Pt3SI
1.0
4.652 0.000 0.000
0.000 4.652 0.000
0.000 0.000 4.652
Pt S I
3 1 1
direct
0.000 0.000 0.500 Pt
0.000 0.500 0.000 Pt
0.500 0.000 0.000 Pt
0.000 0.000 0.000 S
0.500 0.500 0.500 I
```

Results
Density of states at the Fermi level, states/eV per cell: 3.9
Total energy, eV per atom: -4.189
Total magnetization, μB per atom: 0.00
E above lowest polymorph, kJ/mol of atoms: 0.0


[11]
# PtS2I

An optimized crystal structure of PtS2I (PBE, Alexandria).

The structure in POSCAR format:
```
PtS2I
1.0
6.737 0.000 0.000
0.000 6.737 0.000
0.000 0.000 9.039
Pt S I
4 8 4
direct
0.000 0.000 0.000 Pt
0.000 0.500 0.250 Pt
0.500 0.000 0.750 Pt
0.500 0.500 0.500 Pt
0.159 0.250 0.125 S
0.250 0.659 0.375 S
0.250 0.841 0.875 S
0.341 0.250 0.625 S
0.659 0.750 0.625 S
0.750 0.159 0.875 S
0.750 0.341 0.375 S
0.841 0.750 0.125 S
0.000 0.000 0.500 I
0.000 0.500 0.750 I
0.500 0.000 0.250 I
0.500 0.500 0.000 I
```

Results
Density of states at the Fermi level, states/eV per cell: 13.2
Total energy, eV per atom: -3.707
Total magnetization, μB per atom: 0.00
E above lowest polymorph, kJ/mol of atoms: 32.5


[12]
# PtSI

An optimized crystal structure of PtSI (PBE, Alexandria).

The structure in POSCAR format:
```
PtSI
1.0
13.975 0.000 0.000
0.000 3.969 0.000
-3.062 0.000 5.881
Pt S I
4 4 4
direct
0.238 0.000 0.275 Pt
0.262 0.500 0.725 Pt
0.738 0.500 0.275 Pt
0.762 0.000 0.725 Pt
0.160 0.500 0.332 S
0.340 0.000 0.668 S
0.660 0.000 0.332 S
0.840 0.500 0.668 S
0.116 0.000 0.818 I
0.384 0.500 0.182 I
0.616 0.500 0.818 I
0.884 0.000 0.182 I
```

Results
Density of states at the Fermi level, states/eV per cell: 7.3
Total energy, eV per atom: -3.993
Total magnetization, μB per atom: 0.00